[1]
The following is a PBE calculation of crystalline ZrCo3Ge2 at its relaxed geometry, from Alexandria.

Values from the calculation:
Size of the total moment ... 0.00 μB/f.u.
Volume ... 13.9 Å³ per atom
N(E_F) ... 0.87 states/eV per atom
Crystal system ... monoclinic
DFT total energy ... -249.83 eV per cell
Density ... 8.21 g cm⁻³

Cell lengths 15.3282, 3.7444, 9.1688 Å; angles 90.00, 107.69, 90.00 degrees
Space group C2/m (No. 12)
Symmetry-distinct sites (fractional):
Zr 0.0000 0.0000 0.0000 [2 per cell]
Zr 0.1610 0.0000 0.7015 [4 per cell]
Co 0.0000 0.5000 0.5000 [2 per cell]
Co 0.0445 0.0000 0.3372 [4 per cell]
Co 0.1176 0.5000 0.1972 [4 per cell]
Co 0.1805 0.5000 0.9684 [4 per cell]
Co 0.2126 0.0000 0.3922 [4 per cell]
Ge 0.0398 0.5000 0.7820 [4 per cell]
Ge 0.1397 0.5000 0.4593 [4 per cell]
Ge 0.1958 0.0000 0.1308 [4 per cell]

***

[2]
The following is a PBE calculation of crystalline Zr3Co8Ge at its relaxed geometry, from Alexandria.

Values from the calculation:
Size of the total moment ... 5.24 μB/f.u.
Volume ... 13.5 Å³ per atom
N(E_F) ... 1.50 states/eV per atom
Crystal system ... trigonal
DFT total energy ... -270.78 eV per cell
Density ... 8.41 g cm⁻³

Cell lengths 4.8717, 4.8717, 23.5652 Å; angles 90.00, 90.00, 120.00 degrees
Space group R3m (No. 160, hexagonal axes)
Symmetry-distinct sites (fractional):
Zr 0.0000 0.0000 0.0000 [3 per cell]
Zr 0.0000 0.0000 0.1285 [3 per cell]
Zr 0.0000 0.0000 0.5133 [3 per cell]
Co 0.0000 0.0000 0.3161 [3 per cell]
Co 0.0000 0.0000 0.8166 [3 per cell]
Co 0.0009 0.5004 0.0672 [9 per cell]
Co 0.1677 0.3354 0.9004 [9 per cell]
Ge 0.0000 0.0000 0.6387 [3 per cell]

***

[3]
The following is a PBE calculation of crystalline Co4H at its relaxed geometry, from Alexandria.

Values from the calculation:
Size of the total moment ... 5.98 μB/f.u.
Volume ... 9.0 Å³ per atom
N(E_F) ... 0.63 states/eV per atom
Distance to the lowest polymorph of the same formula ... 0 meV/atom
Crystal system ... orthorhombic
DFT total energy ... -127.19 eV per cell
Density ... 8.69 g cm⁻³

Cell lengths 5.0657, 8.7885, 4.0632 Å; angles 90.00, 90.00, 90.00 degrees
Space group Cmce (No. 64)
Symmetry-distinct sites (fractional):
Co 0.0000 0.1702 0.2476 [8 per cell]
Co 0.2500 0.0872 0.7500 [8 per cell]
H 0.0000 0.0000 0.5000 [4 per cell]

***

[4]
The following is a PBE calculation of crystalline CoH4 at its relaxed geometry, from Alexandria.

Values from the calculation:
Size of the total moment ... 0.00 μB/f.u.
Volume ... 5.8 Å³ per atom
N(E_F) ... 0.09 states/eV per atom
Crystal system ... cubic
DFT total energy ... -17.04 eV per cell
Density ... 3.59 g cm⁻³

Cell lengths 3.0768, 3.0768, 3.0768 Å; angles 90.00, 90.00, 90.00 degrees
Space group Pm-3m (No. 221)
Symmetry-distinct sites (fractional):
Co 0.0000 0.0000 0.0000 [1 per cell]
H 0.0000 0.0000 0.5000 [3 per cell]
H 0.5000 0.5000 0.5000 [1 per cell]

***

[5]
The following is a PBE calculation of crystalline Co4H at its relaxed geometry, from Alexandria.

Values from the calculation:
Size of the total moment ... 6.09 μB/f.u.
Volume ... 9.1 Å³ per atom
N(E_F) ... 0.77 states/eV per atom
Distance to the lowest polymorph of the same formula ... 0 meV/atom
Crystal system ... trigonal
DFT total energy ... -31.80 eV per cell
Density ... 8.68 g cm⁻³

Cell lengths 2.5308, 2.5308, 8.1630 Å; angles 90.00, 90.00, 120.00 degrees
Space group P-3m1 (No. 164)
Symmetry-distinct sites (fractional):
Co 0.3333 0.6667 0.3660 [2 per cell]
Co 0.3333 0.6667 0.8775 [2 per cell]
H 0.0000 0.0000 0.5000 [1 per cell]

***

[6]
The following is a PBE calculation of crystalline Co5H at its relaxed geometry, from Alexandria.

Values from the calculation:
Size of the total moment ... 7.70 μB/f.u.
Volume ... 9.5 Å³ per atom
N(E_F) ... 0.97 states/eV per atom
Distance to the lowest polymorph of the same formula ... 32 meV/atom
Crystal system ... orthorhombic
DFT total energy ... -76.40 eV per cell
Density ... 8.59 g cm⁻³

Cell lengths 4.1260, 11.1558, 2.4845 Å; angles 90.00, 90.00, 90.00 degrees
Space group Cmmm (No. 65)
Symmetry-distinct sites (fractional):
Co 0.0000 0.0000 0.0000 [2 per cell]
Co 0.0000 0.1909 0.5000 [4 per cell]
Co 0.0000 0.3822 0.0000 [4 per cell]
H 0.0000 0.5000 0.5000 [2 per cell]

***

[7]
The following is a PBE calculation of crystalline CoH5 at its relaxed geometry, from Alexandria.

Values from the calculation:
Size of the total moment ... 0.33 μB/f.u.
Volume ... 5.0 Å³ per atom
N(E_F) ... 0.19 states/eV per atom
Crystal system ... orthorhombic
DFT total energy ... -43.58 eV per cell
Density ... 3.55 g cm⁻³

Cell lengths 2.6306, 8.7497, 2.5973 Å; angles 90.00, 90.00, 90.00 degrees
Space group Cmmm (No. 65)
Symmetry-distinct sites (fractional):
Co 0.0000 0.0000 0.0000 [2 per cell]
H 0.0000 0.1239 0.5000 [4 per cell]
H 0.0000 0.3775 0.0000 [4 per cell]
H 0.0000 0.5000 0.5000 [2 per cell]

***

[8]
The following is a PBE calculation of crystalline Co4H at its relaxed geometry, from Alexandria.

Values from the calculation:
Size of the total moment ... 6.17 μB/f.u.
Volume ... 9.1 Å³ per atom
N(E_F) ... 0.99 states/eV per atom
Distance to the lowest polymorph of the same formula ... 35 meV/atom
Crystal system ... cubic
DFT total energy ... -31.62 eV per cell
Density ... 8.61 g cm⁻³

Cell lengths 3.5737, 3.5737, 3.5737 Å; angles 90.00, 90.00, 90.00 degrees
Space group Pm-3m (No. 221)
Symmetry-distinct sites (fractional):
Co 0.0000 0.0000 0.0000 [1 per cell]
Co 0.0000 0.5000 0.5000 [3 per cell]
H 0.5000 0.5000 0.5000 [1 per cell]

***

[9]
The following is a PBE calculation of crystalline Co6H5 at its relaxed geometry, from Alexandria.

Values from the calculation:
Size of the total moment ... 7.50 μB/f.u.
Volume ... 6.7 Å³ per atom
N(E_F) ... 0.70 states/eV per atom
Crystal system ... monoclinic
DFT total energy ... -118.56 eV per cell
Density ... 8.04 g cm⁻³

Cell lengths 4.4935, 7.7799, 4.4956 Å; angles 90.00, 109.41, 90.00 degrees
Space group C2/m (No. 12)
Symmetry-distinct sites (fractional):
Co 0.2470 0.0000 0.2501 [4 per cell]
Co 0.2467 0.1650 0.7454 [8 per cell]
H 0.0000 0.1667 0.0000 [4 per cell]
H 0.0000 0.3345 0.5000 [4 per cell]
H 0.0000 0.5000 0.0000 [2 per cell]

***

[10]
The following is a PBE calculation of crystalline Co5H at its relaxed geometry, from Alexandria.

Values from the calculation:
Size of the total moment ... 7.82 μB/f.u.
Volume ... 9.5 Å³ per atom
N(E_F) ... 1.04 states/eV per atom
Distance to the lowest polymorph of the same formula ... 0 meV/atom
Crystal system ... monoclinic
DFT total energy ... -76.79 eV per cell
Density ... 8.61 g cm⁻³

Cell lengths 2.4993, 4.9801, 9.2514 Å; angles 90.00, 97.73, 90.00 degrees
Space group P2_1/m (No. 11)
Symmetry-distinct sites (fractional):
Co 0.0000 0.0000 0.0000 [2 per cell]
Co 0.1921 0.9999 0.3817 [4 per cell]
Co 0.4030 0.2500 0.8067 [2 per cell]
Co 0.4039 0.7500 0.8087 [2 per cell]
H 0.2672 0.7500 0.5329 [2 per cell]

***

[11]
The following is a PBE calculation of crystalline Co2H3 at its relaxed geometry, from Alexandria.

Values from the calculation:
Size of the total moment ... 1.24 μB/f.u.
Volume ... 5.9 Å³ per atom
N(E_F) ... 0.90 states/eV per atom
Crystal system ... trigonal
DFT total energy ... -141.23 eV per cell
Density ... 6.82 g cm⁻³

Cell lengths 4.3814, 4.3814, 10.6279 Å; angles 90.00, 90.00, 120.00 degrees
Space group R-3c (No. 167, hexagonal axes)
Symmetry-distinct sites (fractional):
Co 0.0000 0.0000 0.1289 [12 per cell]
H 0.0000 0.2727 0.2500 [18 per cell]

***

[12]
The following is a PBE calculation of crystalline HfCo3H3 at its relaxed geometry, from Alexandria.

Values from the calculation:
Size of the total moment ... 1.89 μB/f.u.
Volume ... 9.6 Å³ per atom
N(E_F) ... 0.48 states/eV per atom
Distance to the lowest polymorph of the same formula ... 591 meV/atom
Crystal system ... cubic
DFT total energy ... -304.82 eV per cell
Density ... 8.88 g cm⁻³

Cell lengths 8.1223, 8.1223, 8.1223 Å; angles 90.00, 90.00, 90.00 degrees
Space group Fm-3m (No. 225)
Symmetry-distinct sites (fractional):
Hf 0.2500 0.2500 0.2500 [8 per cell]
Co 0.0000 0.0000 0.2040 [24 per cell]
H 0.0000 0.0000 0.3815 [24 per cell]

***

Please write out number 10 again, unchanged.
The following is a PBE calculation of crystalline Co5H at its relaxed geometry, from Alexandria.

Values from the calculation:
Size of the total moment ... 7.82 μB/f.u.
Volume ... 9.5 Å³ per atom
N(E_F) ... 1.04 states/eV per atom
Distance to the lowest polymorph of the same formula ... 0 meV/atom
Crystal system ... monoclinic
DFT total energy ... -76.79 eV per cell
Density ... 8.61 g cm⁻³

Cell lengths 2.4993, 4.9801, 9.2514 Å; angles 90.00, 97.73, 90.00 degrees
Space group P2_1/m (No. 11)
Symmetry-distinct sites (fractional):
Co 0.0000 0.0000 0.0000 [2 per cell]
Co 0.1921 0.9999 0.3817 [4 per cell]
Co 0.4030 0.2500 0.8067 [2 per cell]
Co 0.4039 0.7500 0.8087 [2 per cell]
H 0.2672 0.7500 0.5329 [2 per cell]

***

> Look up the density of the eleventh one.

6.82 g cm⁻³

***

> Which value of size of the total moment does entry 9 give?

7.50 μB/f.u.

***

> size of the total moment of number 12 (HfCo3H3)?

1.89 μB/f.u.